Entry 1:
CeHOs: relaxed, GGA-PBE.

abc: 3.052 15.774 3.888
angles: 90.00 90.00 90.00
Space group Cmcm (No. 63)
Asymmetric unit:
Ce (0.000, 0.090, 0.250) [4 per cell]
H (0.000, 0.462, 0.250) [4 per cell]
Os (0.000, 0.226, 0.750) [4 per cell]

For the electronic total energy, the calculation gives -81.44 eV/cell.

Entry 2:
DyHfCoPd: relaxed, GGA-PBE.

abc: 6.671 6.671 6.671
angles: 90.00 90.00 90.00
Space group F-43m (No. 216)
Asymmetric unit:
Dy (0.000, 0.000, 0.000) [4 per cell]
Hf (0.000, 0.000, 0.500) [4 per cell]
Co (0.250, 0.250, 0.250) [4 per cell]
Pd (0.250, 0.250, 0.750) [4 per cell]

The formation energy is -0.425 eV/atom. For the electronic total energy, the calculation gives -114.21 eV/cell.

Entry 3:
Ba3Rh2O9: relaxed, GGA-PBE.

abc: 10.1465 10.1465 14.1835
angles: 90.00 90.00 120.00
Space group R-3c (No. 167, hexagonal axes)
Asymmetric unit:
Ba (0.0000, 0.3342, 0.2500) [18 per cell]
Rh (0.0000, 0.0000, 0.1508) [12 per cell]
O (0.0000, 0.1506, 0.7500) [18 per cell]
O (0.0010, 0.1645, 0.4113) [36 per cell]

For the electronic total energy, the calculation gives -519.22 eV/cell. The calculation puts the formation energy without anion corrections at -1.5315 eV per atom.

no.,magnetization (μB per atom),V (Å³/f.u.),density of states at the Fermi level (states/eV per cell)
1,0.31,47,19.75
2,0.12,74,9.41
3,0.43,211,19.68